Record 1
A plane-wave DFT calculation with GGA-PBE was carried out for crystalline BeBN2O at its relaxed geometry.

abc: 2.869 2.869 6.739
angles: 90.00 90.00 90.00
Sites, in units of the cell vectors:
Be 0.500 0.500 0.500
N 0.500 0.000 0.000
N 0.000 0.500 0.000
B 0.000 0.000 0.000
O 0.000 0.000 0.500

Output
Magnetization (μB/f.u.): 0.1
DOS at the Fermi energy (states/eV/atom): 0.265
Uncorrected formation energy (eV per formula unit): 2.11
VASP energy (eV for the cell shown): -29.898
SG: P4/mmm, No. 123

=====

Record 2
A plane-wave DFT calculation with GGA-PBE was carried out for crystalline BeBN2O at its relaxed geometry.

abc: 3.656 3.656 3.024
angles: 90.00 90.00 90.00
Sites, in units of the cell vectors:
N 0.000 0.500 0.000
N 0.500 0.000 0.000
Be 0.000 0.000 0.000
O 0.000 0.000 0.500
B 0.500 0.500 0.500

Output
Magnetization (μB/f.u.): 0.0
DOS at the Fermi energy (states/eV/atom): 0.507
Uncorrected formation energy (eV per formula unit): 8.66
VASP energy (eV for the cell shown): -23.348
SG: P4/mmm, No. 123

=====

Record 3
A plane-wave DFT calculation with GGA-PBE was carried out for crystalline BeBNO2 at its relaxed geometry.

abc: 3.577 3.577 2.909
angles: 90.00 90.00 90.00
Sites, in units of the cell vectors:
Be 0.500 0.500 0.500
O 0.000 0.500 0.000
O 0.500 0.000 0.000
N 0.000 0.000 0.500
B 0.000 0.000 0.000

Output
Magnetization (μB/f.u.): 1.1
DOS at the Fermi energy (states/eV/atom): 0.448
Uncorrected formation energy (eV per formula unit): 0.63
VASP energy (eV for the cell shown): -28.017
SG: P4/mmm, No. 123

=====

Record 4
A plane-wave DFT calculation with GGA-PBE was carried out for crystalline PaBeB2N4 at its relaxed geometry.

abc: 4.371 4.371 4.782
angles: 114.99 114.99 94.33
Sites, in units of the cell vectors:
Be 0.505 0.505 0.011
N 0.139 0.139 0.680
N 0.866 0.455 0.320
N 0.541 0.541 0.680
N 0.455 0.866 0.320
B 0.752 0.252 0.505
B 0.252 0.752 0.505
Pa 0.990 0.990 0.980

Output
Magnetization (μB/f.u.): 0.0
DOS at the Fermi energy (states/eV/atom): 0.169
Uncorrected formation energy (eV per formula unit): -3.87
VASP energy (eV for the cell shown): -63.751
SG: Fmm2, No. 42

=====

Record 5
A plane-wave DFT calculation with GGA-PBE was carried out for crystalline Pm3BeB2N6 at its relaxed geometry.

abc: 5.330 5.330 6.012
angles: 90.00 90.00 120.00
Sites, in units of the cell vectors:
N 0.177 0.355 0.293
N 0.823 0.177 0.707
N 0.177 0.823 0.293
N 0.645 0.823 0.293
N 0.355 0.177 0.707
N 0.823 0.645 0.707
Pm 0.667 0.333 0.339
Pm 0.333 0.667 0.661
Pm 0.000 0.000 0.000
B 0.333 0.667 0.257
B 0.667 0.333 0.743
Be 0.000 0.000 0.500

Output
Magnetization (μB/f.u.): 0.0
DOS at the Fermi energy (states/eV/atom): 0.282
Uncorrected formation energy (eV per formula unit): -10.93
VASP energy (eV for the cell shown): -92.214
SG: P-3m1, No. 164

=====

Record 6
A plane-wave DFT calculation with GGA-PBE was carried out for crystalline PuBeB2N4 at its relaxed geometry.

abc: 3.830 3.830 6.459
angles: 116.27 116.27 90.50
Sites, in units of the cell vectors:
N 0.618 0.618 0.691
N 0.847 0.346 0.338
N 0.105 0.105 0.688
N 0.346 0.847 0.338
B 0.741 0.222 0.518
B 0.222 0.741 0.518
Pu 0.160 0.160 0.088
Be 0.461 0.461 0.822

Output
Magnetization (μB/f.u.): 4.0
DOS at the Fermi energy (states/eV/atom): 0.754
Uncorrected formation energy (eV per formula unit): -4.40
VASP energy (eV for the cell shown): -69.119
SG: Cm, No. 8

=====

Record 7
A plane-wave DFT calculation with GGA-PBE was carried out for crystalline Pu3BeB2N6 at its relaxed geometry.

abc: 5.229 5.229 5.796
angles: 90.00 90.00 120.00
Sites, in units of the cell vectors:
N 0.349 0.174 0.713
N 0.826 0.651 0.713
N 0.826 0.174 0.713
N 0.174 0.826 0.287
N 0.174 0.349 0.287
N 0.651 0.826 0.287
Pu 0.333 0.667 0.662
Pu 0.667 0.333 0.338
Pu 0.000 0.000 0.000
Be 0.000 0.000 0.500
B 0.667 0.333 0.756
B 0.333 0.667 0.244

Output
Magnetization (μB/f.u.): 5.6
DOS at the Fermi energy (states/eV/atom): 1.670
Uncorrected formation energy (eV per formula unit): -9.74
VASP energy (eV for the cell shown): -119.774
SG: P-3m1, No. 164

=====

Record 8
A plane-wave DFT calculation with GGA-PBE was carried out for crystalline BeBS2N at its relaxed geometry.

abc: 4.983 4.983 2.654
angles: 90.00 90.00 90.00
Sites, in units of the cell vectors:
Be 0.500 0.500 0.500
N 0.000 0.000 0.500
S 0.000 0.500 0.000
S 0.500 0.000 0.000
B 0.000 0.000 0.000

Output
Relative energy among the computed polymorphs (meV per atom): 0
Magnetization (μB/f.u.): 0.2
DOS at the Fermi energy (states/eV/atom): 0.650
Uncorrected formation energy (eV per formula unit): 2.79
VASP energy (eV for the cell shown): -24.198
SG: P4/mmm, No. 123

=====

Record 9
A plane-wave DFT calculation with GGA-PBE was carried out for crystalline BeBSN2 at its relaxed geometry.

abc: 3.067 3.067 6.958
angles: 90.00 90.00 90.00
Sites, in units of the cell vectors:
B 0.500 0.500 0.500
S 0.000 0.000 0.500
N 0.500 0.000 0.000
N 0.000 0.500 0.000
Be 0.000 0.000 0.000

Output
Relative energy among the computed polymorphs (meV per atom): 678
Magnetization (μB/f.u.): 0.0
DOS at the Fermi energy (states/eV/atom): 0.231
Uncorrected formation energy (eV per formula unit): 6.86
VASP energy (eV for the cell shown): -24.326
SG: P4/mmm, No. 123

=====

Record 10
A plane-wave DFT calculation with GGA-PBE was carried out for crystalline BeBS2N at its relaxed geometry.

abc: 4.533 4.533 3.064
angles: 90.00 90.00 90.00
Sites, in units of the cell vectors:
B 0.500 0.500 0.500
S 0.000 0.500 0.000
S 0.500 0.000 0.000
Be 0.000 0.000 0.000
N 0.000 0.000 0.500

Output
Relative energy among the computed polymorphs (meV per atom): 797
Magnetization (μB/f.u.): 0.0
DOS at the Fermi energy (states/eV/atom): 0.571
Uncorrected formation energy (eV per formula unit): 6.77
VASP energy (eV for the cell shown): -20.214
SG: P4/mmm, No. 123

=====

Record 11
A plane-wave DFT calculation with GGA-PBE was carried out for crystalline BeBSN2 at its relaxed geometry.

abc: 3.039 3.039 7.594
angles: 90.00 90.00 90.00
Sites, in units of the cell vectors:
N 0.500 0.000 0.000
N 0.000 0.500 0.000
B 0.000 0.000 0.000
Be 0.500 0.500 0.500
S 0.000 0.000 0.500

Output
Relative energy among the computed polymorphs (meV per atom): 0
Magnetization (μB/f.u.): 0.2
DOS at the Fermi energy (states/eV/atom): 0.315
Uncorrected formation energy (eV per formula unit): 3.47
VASP energy (eV for the cell shown): -27.714
SG: P4/mmm, No. 123

=====

Record 12
A plane-wave DFT calculation with GGA-PBE was carried out for crystalline BeBSe2N at its relaxed geometry.

abc: 5.945 5.945 2.574
angles: 90.00 90.00 90.00
Sites, in units of the cell vectors:
Be 0.500 0.500 0.500
B 0.000 0.000 0.000
Se 0.000 0.500 0.000
Se 0.500 0.000 0.000
N 0.000 0.000 0.500

Output
Relative energy among the computed polymorphs (meV per atom): 0
Magnetization (μB/f.u.): 0.0
DOS at the Fermi energy (states/eV/atom): 0.568
Uncorrected formation energy (eV per formula unit): 2.25
VASP energy (eV for the cell shown): -23.452
SG: P4/mmm, No. 123

=====

Record 13
A plane-wave DFT calculation with GGA-PBE was carried out for crystalline BeBSeN2 at its relaxed geometry.

abc: 3.109 3.109 7.576
angles: 90.00 90.00 90.00
Sites, in units of the cell vectors:
Se 0.000 0.000 0.500
Be 0.500 0.500 0.500
N 0.500 0.000 0.000
N 0.000 0.500 0.000
B 0.000 0.000 0.000

Output
Relative energy among the computed polymorphs (meV per atom): 0
Magnetization (μB/f.u.): 0.2
DOS at the Fermi energy (states/eV/atom): 0.396
Uncorrected formation energy (eV per formula unit): 4.21
VASP energy (eV for the cell shown): -26.325
SG: P4/mmm, No. 123

=====

Record 14
A plane-wave DFT calculation with GGA-PBE was carried out for crystalline BeBSeN2 at its relaxed geometry.

abc: 3.149 3.149 7.075
angles: 90.00 90.00 90.00
Sites, in units of the cell vectors:
Se 0.000 0.000 0.500
N 0.000 0.500 0.000
N 0.500 0.000 0.000
B 0.500 0.500 0.500
Be 0.000 0.000 0.000

Output
Relative energy among the computed polymorphs (meV per atom): 527
Magnetization (μB/f.u.): 0.0
DOS at the Fermi energy (states/eV/atom): 0.266
Uncorrected formation energy (eV per formula unit): 6.85
VASP energy (eV for the cell shown): -23.692
SG: P4/mmm, No. 123

=====

Record 15
A plane-wave DFT calculation with GGA-PBE was carried out for crystalline BeBSe2N at its relaxed geometry.

abc: 4.978 4.978 2.984
angles: 90.00 90.00 90.00
Sites, in units of the cell vectors:
N 0.000 0.000 0.500
Be 0.000 0.000 0.000
B 0.500 0.500 0.500
Se 0.500 0.000 0.000
Se 0.000 0.500 0.000

Output
Relative energy among the computed polymorphs (meV per atom): 720
Magnetization (μB/f.u.): 0.0
DOS at the Fermi energy (states/eV/atom): 0.682
Uncorrected formation energy (eV per formula unit): 5.85
VASP energy (eV for the cell shown): -19.852
SG: P4/mmm, No. 123

=====

Record 16
A plane-wave DFT calculation with GGA-PBE was carried out for crystalline BeSiBN2 at its relaxed geometry.

abc: 3.499 4.162 3.499
angles: 90.00 90.00 90.00
Sites, in units of the cell vectors:
B 0.000 0.500 0.000
Si 0.000 0.000 0.000
N 0.500 0.000 0.000
N 0.000 0.000 0.500
Be 0.500 0.500 0.500

Output
Magnetization (μB/f.u.): 0.0
DOS at the Fermi energy (states/eV/atom): 0.690
Uncorrected formation energy (eV per formula unit): 6.68
VASP energy (eV for the cell shown): -25.800
SG: P4/mmm, No. 123

=====

Record 17
A plane-wave DFT calculation with GGA-PBE was carried out for crystalline Be2BTeN at its relaxed geometry.

abc: 3.486 5.227 3.486
angles: 90.00 90.00 90.00
Sites, in units of the cell vectors:
Te 0.000 0.500 0.000
N 0.500 0.500 0.500
Be 0.000 0.000 0.500
Be 0.500 0.000 0.000
B 0.000 0.000 0.000

Output
Magnetization (μB/f.u.): 0.0
DOS at the Fermi energy (states/eV/atom): 0.115
Uncorrected formation energy (eV per formula unit): 4.59
VASP energy (eV for the cell shown): -21.006
SG: P4/mmm, No. 123

=====

Record 18
A plane-wave DFT calculation with GGA-PBE was carried out for crystalline BeB2WN at its relaxed geometry.

abc: 3.926 3.013 3.926
angles: 90.00 90.00 90.00
Sites, in units of the cell vectors:
N 0.000 0.500 0.000
Be 0.000 0.000 0.000
W 0.500 0.500 0.500
B 0.500 0.000 0.000
B 0.000 0.000 0.500

Output
Magnetization (μB/f.u.): 0.0
DOS at the Fermi energy (states/eV/atom): 0.421
Uncorrected formation energy (eV per formula unit): 6.32
VASP energy (eV for the cell shown): -32.036
SG: P4/mmm, No. 123

=====

Record 19
A plane-wave DFT calculation with GGA-PBE was carried out for crystalline YBeB2N at its relaxed geometry.

abc: 3.484 4.600 3.484
angles: 90.00 90.00 90.00
Sites, in units of the cell vectors:
Be 0.000 0.000 0.000
Y 0.500 0.500 0.500
B 0.500 0.000 0.000
B 0.000 0.000 0.500
N 0.000 0.500 0.000

Output
Magnetization (μB/f.u.): 0.0
DOS at the Fermi energy (states/eV/atom): 0.390
Uncorrected formation energy (eV per formula unit): 2.62
VASP energy (eV for the cell shown): -29.255
SG: P4/mmm, No. 123

=====

Record 20
A plane-wave DFT calculation with GGA-PBE was carried out for crystalline YBeBN2 at its relaxed geometry.

abc: 3.777 3.575 3.777
angles: 90.00 90.00 90.00
Sites, in units of the cell vectors:
N 0.000 0.000 0.500
N 0.500 0.000 0.000
B 0.000 0.500 0.000
Y 0.500 0.500 0.500
Be 0.000 0.000 0.000

Output
Magnetization (μB/f.u.): 0.0
DOS at the Fermi energy (states/eV/atom): 0.390
Uncorrected formation energy (eV per formula unit): 1.89
VASP energy (eV for the cell shown): -31.624
SG: P4/mmm, No. 123